DFT (PBE) results for a relaxed La4Nd15Th crystal.

Unit cell a=5.2219 b=5.2219 c=26.0981 alpha=90.00 beta=90.00 gamma=90.00
Space group P4/mmm (No. 123)
One atom of each set of equivalent atoms:
La  0.0000  0.0000  0.1000 [2 per cell]
La  0.0000  0.0000  0.3007 [2 per cell]
Nd  0.0000  0.5000  0.0000 [2 per cell]
Nd  0.0000  0.5000  0.2012 [4 per cell]
Nd  0.0000  0.5000  0.4037 [4 per cell]
Nd  0.5000  0.5000  0.1005 [2 per cell]
Nd  0.5000  0.5000  0.3011 [2 per cell]
Nd  0.5000  0.5000  0.5000 [1 per cell]
Th  0.0000  0.0000  0.5000 [1 per cell]

Values from the calculation:
- D(E_F): 33.1 states/eV/f.u.
- Total magnetization: 0.00 μB per cell
- Formation enthalpy at 0 K: 0.548 kcal/mol of atoms
- E_tot: -4.9086 eV per atom